Record 1
MnReSb2 | GGA-PBE | optimized geometry

Structure (POSCAR):
```
MnReSb2
1.0
0.0000 3.3694 3.3694
3.3694 0.0000 3.3694
3.3694 3.3694 0.0000
Mn Re Sb
1 1 2
Direct
0.0000 0.0000 0.0000
0.2500 0.2500 0.2500
0.5000 0.5000 0.5000
0.7500 0.7500 0.7500
```

Computed properties:
Raw formation energy, eV per atom: 0.793
Volume, Å³/f.u.: 76.5
Symmetry: F-43m
Relative energy among the computed polymorphs, meV/atom: 590

Record 2
NiRu2Rh | GGA-PBE | optimized geometry

Structure (POSCAR):
```
NiRu2Rh
1.0
4.4216 -1.3396 0.0000
4.4216 1.3396 0.0000
-0.8231 0.0000 4.5181
Ni Ru Rh
1 2 1
Direct
0.0000 0.0000 0.0000
0.2508 0.2508 0.7550
0.7492 0.7492 0.2450
0.5000 0.5000 0.5000
```

Computed properties:
ΔH_f (0 K), meV per atom: 121
Volume, Å³/f.u.: 53.5
Symmetry: C2/m
Relative energy among the computed polymorphs, meV/atom: 52

Record 3
FeMo2P | GGA-PBE | optimized geometry

Structure (POSCAR):
```
FeMo2P
1.0
3.1424 0.0000 0.0000
0.0000 3.1424 0.0000
0.0000 0.0000 5.5378
Fe Mo P
1 2 1
Direct
0.0000 0.0000 0.0000
0.0000 0.0000 0.5308
0.5000 0.5000 0.1987
0.5000 0.5000 0.7400
```

Computed properties:
ΔH_f (0 K), meV per atom: -81
Volume, Å³/f.u.: 54.7
Symmetry: P4mm

Record 4
TcPdO2 | GGA-PBE | optimized geometry

Structure (POSCAR):
```
TcPdO2
1.0
0.0000 2.7683 2.7683
2.7683 0.0000 2.7683
2.7683 2.7683 0.0000
Tc Pd O
1 1 2
Direct
0.0000 0.0000 0.0000
0.5000 0.5000 0.5000
0.2500 0.2500 0.2500
0.7500 0.7500 0.7500
```

Computed properties:
Raw formation energy, eV per atom: 0.182
Volume, Å³/f.u.: 42.4
Symmetry: Fm-3m
Relative energy among the computed polymorphs, meV/atom: 1000